(1)
# Y5Ni2Os, relaxed, DFT PBE
data_Y5Ni2Os
_chemical_formula_sum 'Y20 Ni8 Os4'
_cell_length_a 7.0676
_cell_length_b 7.0676
_cell_length_c 14.7533
_cell_angle_alpha 90.00
_cell_angle_beta 90.00
_cell_angle_gamma 90.00
_space_group_name_H-M_alt 'I 4/m c m'
_space_group_IT_number 140
_space_group_name_Hall '-I 4 2c'
loop_
_atom_site_label
_atom_site_type_symbol
_atom_site_fract_x
_atom_site_fract_y
_atom_site_fract_z
Y1 Y 0.0000 0.0000 0.0000
Y2 Y 0.1769 0.3231 0.1477
Ni1 Ni 0.1162 0.3838 0.5000
Os1 Os 0.0000 0.0000 0.2500
# - DOS(E_F): 28.924 states/eV/cell
# - Calculated formation energy: -311.5 meV/atom
# - V: 23.0 A^3/atom
# - VASP energy: -7.201 eV/atom
# - Total magnetic moment: 0.0 μB/cell



(2)
# NaHg3Pb3, relaxed, DFT PBE
data_NaHg3Pb3
_chemical_formula_sum 'Na4 Hg12 Pb12'
_cell_length_a 10.4097
_cell_length_b 10.0622
_cell_length_c 7.7476
_cell_angle_alpha 90.00
_cell_angle_beta 92.05
_cell_angle_gamma 90.00
_space_group_name_H-M_alt 'C 1 2/m 1'
_space_group_IT_number 12
loop_
_space_group_symop_operation_xyz
'x,y,z'
'-x,-y,-z'
'-x,y,-z'
'x,-y,z'
'x+1/2,y+1/2,z'
'-x+1/2,-y+1/2,-z'
'-x+1/2,y+1/2,-z'
'x+1/2,-y+1/2,z'
loop_
_atom_site_label
_atom_site_type_symbol
_atom_site_fract_x
_atom_site_fract_y
_atom_site_fract_z
Na1 Na 0.2384 0.0000 0.0348
Hg1 Hg 0.0251 0.5000 0.2057
Hg2 Hg 0.2466 0.2331 0.7500
Pb1 Pb 0.0000 0.2239 0.0000
Pb2 Pb 0.0000 0.2914 0.5000
Pb3 Pb 0.1658 0.0000 0.4791
# - Polymorph energy (0 for the lowest one): 0 meV/atom
# - DOS(E_F): 8.862 states/eV/cell
# - Calculated formation energy: -23.9 meV/atom
# - V: 29.0 A^3/atom
# - VASP energy: -1.931 eV/atom
# - Total magnetic moment: 0.0 μB/cell



(3)
# CaTmAlAg, relaxed, DFT PBE
data_CaTmAlAg
_chemical_formula_sum 'Ca4 Tm4 Al4 Ag4'
_cell_length_a 7.2845
_cell_length_b 7.2845
_cell_length_c 7.2845
_cell_angle_alpha 90.00
_cell_angle_beta 90.00
_cell_angle_gamma 90.00
_space_group_name_H-M_alt 'F -4 3 m'
_space_group_IT_number 216
_space_group_name_Hall 'F -4 2 3'
loop_
_atom_site_label
_atom_site_type_symbol
_atom_site_fract_x
_atom_site_fract_y
_atom_site_fract_z
Ca1 Ca 0.0000 0.0000 0.0000
Tm1 Tm 0.0000 0.0000 0.5000
Al1 Al 0.2500 0.2500 0.2500
Ag1 Ag 0.2500 0.2500 0.7500
# - DOS(E_F): 13.710 states/eV/cell
# - Calculated formation energy: -279.7 meV/atom
# - V: 24.2 A^3/atom
# - VASP energy: -3.546 eV/atom
# - Total magnetic moment: 0.0 μB/cell



(4)
# Ca2Hg2Pb, relaxed, DFT PBE
data_Ca2Hg2Pb
_chemical_formula_sum 'Ca4 Hg4 Pb2'
_cell_length_a 8.5979
_cell_length_b 8.5979
_cell_length_c 3.8295
_cell_angle_alpha 90.00
_cell_angle_beta 90.00
_cell_angle_gamma 90.00
_space_group_name_H-M_alt 'P 4/m b m'
_space_group_IT_number 127
_space_group_name_Hall '-P 4 2ab'
loop_
_atom_site_label
_atom_site_type_symbol
_atom_site_fract_x
_atom_site_fract_y
_atom_site_fract_z
Ca1 Ca 0.1712 0.3288 0.0000
Hg1 Hg 0.1254 0.6254 0.5000
Pb1 Pb 0.0000 0.0000 0.5000
# - Polymorph energy (0 for the lowest one): 0 meV/atom
# - DOS(E_F): 6.790 states/eV/cell
# - Calculated formation energy: -471.7 meV/atom
# - V: 28.3 A^3/atom
# - VASP energy: -2.135 eV/atom
# - Total magnetic moment: 0.0 μB/cell



(5)
# K3Li, relaxed, DFT PBE
data_K3Li
_chemical_formula_sum 'K3 Li1'
_cell_length_a 4.4322
_cell_length_b 4.4322
_cell_length_c 13.8224
_cell_angle_alpha 90.00
_cell_angle_beta 90.00
_cell_angle_gamma 120.00
_space_group_name_H-M_alt 'P -6 m 2'
_space_group_IT_number 187
_space_group_name_Hall 'P -6 2'
loop_
_atom_site_label
_atom_site_type_symbol
_atom_site_fract_x
_atom_site_fract_y
_atom_site_fract_z
K1 K 0.0000 0.0000 0.0000
K2 K 0.3333 0.6667 0.2879
Li1 Li 0.0000 0.0000 0.5000
# - DOS(E_F): 2.307 states/eV/cell
# - Calculated formation energy: 121.5 meV/atom
# - V: 58.8 A^3/atom
# - VASP energy: -1.180 eV/atom
# - Total magnetic moment: 0.0 μB/cell



(6)
# Sr2LiIn4Pt3, relaxed, DFT PBE
data_Sr2LiIn4Pt3
_chemical_formula_sum 'Sr2 Li1 In4 Pt3'
_cell_length_a 4.7219
_cell_length_b 4.7219
_cell_length_c 10.7978
_cell_angle_alpha 90.00
_cell_angle_beta 90.00
_cell_angle_gamma 90.00
_space_group_name_H-M_alt 'P -4 m 2'
_space_group_IT_number 115
loop_
_space_group_symop_operation_xyz
'x,y,z'
'y,-x,-z'
'-x,-y,z'
'-y,x,-z'
'-x,y,z'
'-y,-x,-z'
'x,-y,z'
'y,x,-z'
loop_
_atom_site_label
_atom_site_type_symbol
_atom_site_fract_x
_atom_site_fract_y
_atom_site_fract_z
Sr1 Sr 0.0000 0.5000 0.2458
Li1 Li 0.5000 0.5000 0.0000
In1 In 0.0000 0.0000 0.5000
In2 In 0.0000 0.5000 0.8790
In3 In 0.5000 0.5000 0.5000
Pt1 Pt 0.0000 0.0000 0.0000
Pt2 Pt 0.0000 0.5000 0.6323
# - DOS(E_F): 4.985 states/eV/cell
# - Calculated formation energy: -628.6 meV/atom
# - V: 24.1 A^3/atom
# - VASP energy: -4.064 eV/atom
# - Total magnetic moment: 0.0 μB/cell